Entry from Alexandria via LeMat-Bulk: CoBiHRu2 after structural relaxation (PBE).

Output
The total energy is -0.3568 Ry/atom.

The structure in CIF format:
```
data_CoBiHRu2
_cell_length_a 5.095
_cell_length_b 5.095
_cell_length_c 3.489
_cell_angle_alpha 90.00
_cell_angle_beta 90.00
_cell_angle_gamma 90.00
_symmetry_space_group_name_H-M 'P 4/m m m'
_symmetry_Int_Tables_number 123
_symmetry_space_group_name_Hall '-P 4 2'
loop_
_atom_site_label
_atom_site_fract_x
_atom_site_fract_y
_atom_site_fract_z
Co1 0.000 0.000 0.000
Bi1 0.500 0.500 0.500
H1 0.500 0.500 0.000
Ru1 0.000 0.500 0.500
```